A relaxed AlV2 crystal. Source: Alexandria, functional PBE-GGA.

Calculated values
- DOS at the Fermi energy: 5.2 states/eV per cell
- Formation enthalpy at 0 K: -0.16 eV/atom
- Space group: Cmcm (63)
- Theoretical density: 5076 kg/m3

a b c (Å): 5.1796 5.1796 4.1821
angles (deg): 90.00 90.00 131.28
Last column: nearest neighbours and their distance in Å.
Sites, in units of the cell vectors:
Al1 0.0882 0.9118 0.7500  6 V 2.60-2.73, 2 Al 2.67
Al2 0.9118 0.0882 0.2500  6 V 2.60-2.73, 2 Al 2.67
V1 0.2547 0.7453 0.2500  4 V 2.55-2.63, 4 Al 2.60-2.62
V2 0.4084 0.5916 0.7500  6 V 2.55-2.71, 2 Al 2.73
V3 0.5916 0.4084 0.2500  6 V 2.55-2.71, 2 Al 2.73
V4 0.7453 0.2547 0.7500  4 V 2.55-2.63, 4 Al 2.60-2.62

A relaxed Al3V crystal. Source: Alexandria, functional PBE-GGA.

Calculated values
- DOS at the Fermi energy: 2.5 states/eV per cell
- Formation enthalpy at 0 K: -0.19 eV/atom
- Space group: Imm2 (44)
- Theoretical density: 3648 kg/m3

a b c (Å): 5.2576 5.2576 5.2576
angles (deg): 148.96 63.61 126.00
Last column: nearest neighbours and their distance in Å.
Sites, in units of the cell vectors:
Al1 0.0000 0.0000 0.0000  8 Al 2.72-2.81, 4 V 2.72-2.82
Al2 0.4145 0.6584 0.7562  3 V 2.72-2.78, 9 Al 2.72-2.81
Al3 0.9022 0.6584 0.2438  3 V 2.72-2.78, 9 Al 2.72-2.81
V1 0.4885 0.9885 0.5000  10 Al 2.72-2.82, 2 V 2.81

A relaxed Al3V crystal. Source: Alexandria, functional PBE-GGA.

Calculated values
- DOS at the Fermi energy: 3.0 states/eV per cell
- Formation enthalpy at 0 K: -0.15 eV/atom
- Space group: Pm-3m (221)
- Theoretical density: 3696 kg/m3

a b c (Å): 3.8986 3.8986 3.8986
angles (deg): 90.00 90.00 90.00
Last column: nearest neighbours and their distance in Å.
Sites, in units of the cell vectors:
Al1 0.0000 0.0000 0.5000  8 Al 2.76, 4 V 2.76
Al2 0.0000 0.5000 0.0000  8 Al 2.76, 4 V 2.76
Al3 0.5000 0.0000 0.0000  8 Al 2.76, 4 V 2.76
V1 0.5000 0.5000 0.5000  12 Al 2.76

A relaxed Al3V2 crystal. Source: Alexandria, functional PBE-GGA.

Calculated values
- DOS at the Fermi energy: 1.8 states/eV per cell
- Formation enthalpy at 0 K: -0.23 eV/atom
- Space group: C2/m (12)
- Theoretical density: 4156 kg/m3

a b c (Å): 4.9032 4.9032 6.4617
angles (deg): 130.35 130.35 40.52
Last column: nearest neighbours and their distance in Å.
Sites, in units of the cell vectors:
Al1 0.0000 0.0000 0.0000  4 V 2.59, 6 Al 2.76-2.88
Al2 0.1850 0.1850 0.7788  5 V 2.71-2.74, 6 Al 2.76-2.88
Al3 0.8150 0.8150 0.2212  5 V 2.71-2.74, 6 Al 2.76-2.88
V1 0.3893 0.3893 0.6110  2 V 2.54, 7 Al 2.59-2.74
V2 0.6107 0.6107 0.3890  2 V 2.54, 7 Al 2.59-2.74

A relaxed AlV8 crystal. Source: Alexandria, functional PBE-GGA.

Calculated values
- DOS at the Fermi energy: 13.1 states/eV per cell
- Formation enthalpy at 0 K: -0.06 eV/atom
- Space group: I4/mmm (139)
- Theoretical density: 5829 kg/m3

a b c (Å): 6.5499 6.5499 6.5499
angles (deg): 93.11 93.11 153.07
Last column: nearest neighbours and their distance in Å.
Sites, in units of the cell vectors:
Al1 0.0000 0.0000 0.0000  8 V 2.68
V1 0.0000 0.3357 0.3357  8 V 2.59-2.63
V2 0.0000 0.6643 0.6643  8 V 2.59-2.63
V3 0.3266 0.3266 0.6532  6 V 2.48-2.63, 2 Al 2.68
V4 0.3266 0.6734 0.0000  6 V 2.48-2.63, 2 Al 2.68
V5 0.3357 0.0000 0.3357  8 V 2.59-2.63
V6 0.6643 0.0000 0.6643  8 V 2.59-2.63
V7 0.6734 0.3266 0.0000  6 V 2.48-2.63, 2 Al 2.68
V8 0.6734 0.6734 0.3468  6 V 2.48-2.63, 2 Al 2.68

A relaxed Al5V crystal. Source: Alexandria, functional PBE-GGA.

Calculated values
- DOS at the Fermi energy: 4.2 states/eV per cell
- Formation enthalpy at 0 K: -0.08 eV/atom
- Space group: Cmmm (65)
- Theoretical density: 3333 kg/m3
- Excess energy over the best structure of this formula in the dataset: 0.43 eV per formula unit

a b c (Å): 6.5355 6.5355 3.8339
angles (deg): 90.00 90.00 145.57
Last column: nearest neighbours and their distance in Å.
Sites, in units of the cell vectors:
Al1 0.0000 0.0000 0.0000  4 V 2.72, 8 Al 2.76-2.83
Al2 0.1591 0.8409 0.5000  10 Al 2.72-2.98, 2 V 2.77
Al3 0.3347 0.6653 0.0000  10 Al 2.72-2.91, 2 V 2.82
Al4 0.6653 0.3347 0.0000  10 Al 2.72-2.91, 2 V 2.82
Al5 0.8409 0.1591 0.5000  10 Al 2.72-2.98, 2 V 2.77
V1 0.5000 0.5000 0.5000  12 Al 2.72-2.82

A relaxed Al6V crystal. Source: Alexandria, functional PBE-GGA.

Calculated values
- DOS at the Fermi energy: 4.6 states/eV per cell
- Formation enthalpy at 0 K: -0.07 eV/atom
- Space group: P-1 (2)
- Theoretical density: 3215 kg/m3
- Excess energy over the best structure of this formula in the dataset: 0.00 eV per formula unit

a b c (Å): 4.8570 4.8598 4.8722
angles (deg): 99.48 99.44 98.87
Last column: nearest neighbours and their distance in Å.
Sites, in units of the cell vectors:
Al1 0.0659 0.2687 0.1452  10 Al 2.68-2.94, 2 V 2.77-2.78
Al2 0.2307 0.8554 0.4339  10 Al 2.69-2.93, 2 V 2.78-2.79
Al3 0.3550 0.4346 0.7323  10 Al 2.68-2.96, 2 V 2.77-2.78
Al4 0.6450 0.5654 0.2677  10 Al 2.68-2.96, 2 V 2.77-2.78
Al5 0.7693 0.1446 0.5661  10 Al 2.69-2.93, 2 V 2.78-2.79
Al6 0.9341 0.7313 0.8548  10 Al 2.68-2.94, 2 V 2.77-2.78
V1 0.5000 0.0000 0.0000  12 Al 2.77-2.79

A relaxed Al3V2 crystal. Source: Alexandria, functional PBE-GGA.

Calculated values
- DOS at the Fermi energy: 4.2 states/eV per cell
- Formation enthalpy at 0 K: -0.13 eV/atom
- Space group: Immm (71)
- Theoretical density: 4151 kg/m3

a b c (Å): 7.3120 7.3120 7.3120
angles (deg): 157.93 150.09 37.48
Last column: nearest neighbours and their distance in Å.
Sites, in units of the cell vectors:
Al1 0.0000 0.0000 0.0000  8 V 2.69, 4 Al 2.74-2.80
Al2 0.1978 0.1978 0.0000  7 Al 2.74-2.80, 5 V 2.75-2.87
Al3 0.8022 0.8022 0.0000  7 Al 2.74-2.80, 5 V 2.75-2.87
V1 0.4051 0.4051 0.0000  3 V 2.63-2.80, 9 Al 2.69-2.87
V2 0.5949 0.5949 0.0000  3 V 2.63-2.80, 9 Al 2.69-2.87

A relaxed Al4V crystal. Source: Alexandria, functional PBE-GGA.

Calculated values
- DOS at the Fermi energy: 2.6 states/eV per cell
- Formation enthalpy at 0 K: 0.75 eV/atom
- Space group: Pm-3m (221)
- Theoretical density: 2309 kg/m3
- Excess energy over the best structure of this formula in the dataset: 3.70 eV per formula unit

a b c (Å): 4.8521 4.8521 4.8521
angles (deg): 90.00 90.00 90.00
Last column: nearest neighbours and their distance in Å.
Sites, in units of the cell vectors:
Al1 0.0000 0.0000 0.0000  12 Al 3.43
Al2 0.0000 0.5000 0.5000  2 V 2.43
Al3 0.5000 0.0000 0.5000  2 V 2.43
Al4 0.5000 0.5000 0.0000  2 V 2.43
V1 0.5000 0.5000 0.5000  6 Al 2.43

A relaxed Al5V crystal. Source: Alexandria, functional PBE-GGA.

Calculated values
- DOS at the Fermi energy: 5.5 states/eV per cell
- Formation enthalpy at 0 K: -0.05 eV/atom
- Space group: Cmcm (63)
- Theoretical density: 3171 kg/m3
- Excess energy over the best structure of this formula in the dataset: 0.60 eV per formula unit

a b c (Å): 5.3585 5.3585 13.2143
angles (deg): 90.00 90.00 149.14
Last column: nearest neighbours and their distance in Å.
Sites, in units of the cell vectors:
Al1 0.0457 0.9543 0.5990  2 V 2.67, 9 Al 2.74-2.99
Al2 0.0457 0.9543 0.9010  2 V 2.67, 9 Al 2.74-2.99
Al3 0.2187 0.7813 0.0820  1 V 2.61, 9 Al 2.67-2.85
Al4 0.2187 0.7813 0.4180  1 V 2.61, 9 Al 2.67-2.85
Al5 0.3825 0.6175 0.7500  3 V 2.74-2.82, 10 Al 2.84-2.98
Al6 0.6175 0.3825 0.2500  3 V 2.74-2.82, 10 Al 2.84-2.98
Al7 0.7813 0.2187 0.5820  1 V 2.61, 9 Al 2.67-2.85
Al8 0.7813 0.2187 0.9180  1 V 2.61, 9 Al 2.67-2.85
Al9 0.9543 0.0457 0.0990  2 V 2.67, 9 Al 2.74-2.99
Al10 0.9543 0.0457 0.4010  2 V 2.67, 9 Al 2.74-2.99
V1 0.3525 0.6475 0.2500  9 Al 2.61-2.82, 2 V 2.85
V2 0.6475 0.3525 0.7500  9 Al 2.61-2.82, 2 V 2.85

A relaxed AlV5 crystal. Source: Alexandria, functional PBE-GGA.

Calculated values
- DOS at the Fermi energy: 6.0 states/eV per cell
- Formation enthalpy at 0 K: -0.10 eV/atom
- Space group: Cmmm (65)
- Theoretical density: 5657 kg/m3
- Excess energy over the best structure of this formula in the dataset: 0.00 eV per formula unit

a b c (Å): 6.5894 6.5894 3.0729
angles (deg): 90.00 90.00 141.70
Last column: nearest neighbours and their distance in Å.
Sites, in units of the cell vectors:
Al1 0.0000 0.0000 0.0000  12 V 2.65-2.96
V1 0.1787 0.8213 0.5000  8 V 2.51-2.80, 2 Al 2.70
V2 0.3380 0.6620 0.0000  8 V 2.51-2.66
V3 0.5000 0.5000 0.5000  4 V 2.54, 4 Al 2.65
V4 0.6620 0.3380 0.0000  8 V 2.51-2.66
V5 0.8213 0.1787 0.5000  8 V 2.51-2.80, 2 Al 2.70

Copy entry 5 word for word.
A relaxed AlV8 crystal. Source: Alexandria, functional PBE-GGA.

Calculated values
- DOS at the Fermi energy: 13.1 states/eV per cell
- Formation enthalpy at 0 K: -0.06 eV/atom
- Space group: I4/mmm (139)
- Theoretical density: 5829 kg/m3

a b c (Å): 6.5499 6.5499 6.5499
angles (deg): 93.11 93.11 153.07
Last column: nearest neighbours and their distance in Å.
Sites, in units of the cell vectors:
Al1 0.0000 0.0000 0.0000  8 V 2.68
V1 0.0000 0.3357 0.3357  8 V 2.59-2.63
V2 0.0000 0.6643 0.6643  8 V 2.59-2.63
V3 0.3266 0.3266 0.6532  6 V 2.48-2.63, 2 Al 2.68
V4 0.3266 0.6734 0.0000  6 V 2.48-2.63, 2 Al 2.68
V5 0.3357 0.0000 0.3357  8 V 2.59-2.63
V6 0.6643 0.0000 0.6643  8 V 2.59-2.63
V7 0.6734 0.3266 0.0000  6 V 2.48-2.63, 2 Al 2.68
V8 0.6734 0.6734 0.3468  6 V 2.48-2.63, 2 Al 2.68

Please write out number 3 again, unchanged.
A relaxed Al3V crystal. Source: Alexandria, functional PBE-GGA.

Calculated values
- DOS at the Fermi energy: 3.0 states/eV per cell
- Formation enthalpy at 0 K: -0.15 eV/atom
- Space group: Pm-3m (221)
- Theoretical density: 3696 kg/m3

a b c (Å): 3.8986 3.8986 3.8986
angles (deg): 90.00 90.00 90.00
Last column: nearest neighbours and their distance in Å.
Sites, in units of the cell vectors:
Al1 0.0000 0.0000 0.5000  8 Al 2.76, 4 V 2.76
Al2 0.0000 0.5000 0.0000  8 Al 2.76, 4 V 2.76
Al3 0.5000 0.0000 0.0000  8 Al 2.76, 4 V 2.76
V1 0.5000 0.5000 0.5000  12 Al 2.76

What did the fifth record say?
A relaxed AlV8 crystal. Source: Alexandria, functional PBE-GGA.

Calculated values
- DOS at the Fermi energy: 13.1 states/eV per cell
- Formation enthalpy at 0 K: -0.06 eV/atom
- Space group: I4/mmm (139)
- Theoretical density: 5829 kg/m3

a b c (Å): 6.5499 6.5499 6.5499
angles (deg): 93.11 93.11 153.07
Last column: nearest neighbours and their distance in Å.
Sites, in units of the cell vectors:
Al1 0.0000 0.0000 0.0000  8 V 2.68
V1 0.0000 0.3357 0.3357  8 V 2.59-2.63
V2 0.0000 0.6643 0.6643  8 V 2.59-2.63
V3 0.3266 0.3266 0.6532  6 V 2.48-2.63, 2 Al 2.68
V4 0.3266 0.6734 0.0000  6 V 2.48-2.63, 2 Al 2.68
V5 0.3357 0.0000 0.3357  8 V 2.59-2.63
V6 0.6643 0.0000 0.6643  8 V 2.59-2.63
V7 0.6734 0.3266 0.0000  6 V 2.48-2.63, 2 Al 2.68
V8 0.6734 0.6734 0.3468  6 V 2.48-2.63, 2 Al 2.68

Question: Which value of DOS at the Fermi energy does entry 11 give?
Answer: 6.0 states/eV per cell